Entry 1:
Density functional theory data (GGA-PBE) for a geometry-optimized TlPdAuS3 structure.

VASP energy: -23.95 eV/f.u.
space-group type: Cmcm, No. 63

Cell: 6.7803 6.7803 10.5309 Å, 90.00 90.00 148.23°
Element x y z (fractional)
Tl: 0.1930 0.8070 0.7500
Tl: 0.8070 0.1930 0.2500
Pd: 0.5000 0.5000 0.0000
Pd: 0.5000 0.5000 0.5000
Au: 0.1306 0.8694 0.2500
Au: 0.8694 0.1306 0.7500
S: 0.1178 0.8822 0.0250
S: 0.1178 0.8822 0.4750
S: 0.4698 0.5302 0.2500
S: 0.5302 0.4698 0.7500
S: 0.8822 0.1178 0.5250
S: 0.8822 0.1178 0.9750


Entry 2:
Density functional theory data (GGA-PBE) for a geometry-optimized CsHfAg3Se4 structure.

VASP energy: -39.82 eV/f.u.
space-group type: P-43m, No. 215

Cell: 6.6341 6.6341 6.6341 Å, 90.00 90.00 90.00°
Element x y z (fractional)
Cs: 0.0000 0.0000 0.0000
Hf: 0.5000 0.5000 0.5000
Ag: 0.0000 0.5000 0.5000
Ag: 0.5000 0.0000 0.5000
Ag: 0.5000 0.5000 0.0000
Se: 0.2818 0.2818 0.2818
Se: 0.2818 0.7182 0.7182
Se: 0.7182 0.2818 0.7182
Se: 0.7182 0.7182 0.2818